(1)
GGA-PBE CaH3Rh, optimized geometry; spin magnetization = 0.00 μB/f.u.; total energy = -42.901 eV per cell; density = 4.28 Mg/m³
1.0
4.291 0.000 -0.049
0.000 5.150 0.000
-1.979 0.000 5.155
H Ca Rh
6 2 2
Direct
0.570 0.066 0.192
0.678 0.250 0.647
0.570 0.434 0.192
0.322 0.750 0.353
0.430 0.566 0.808
0.430 0.934 0.808
0.151 0.250 0.298
0.849 0.750 0.702
0.525 0.250 0.888
0.475 0.750 0.112

---

(2)
GGA-PBE CaH3Rh, optimized geometry; spin magnetization = 0.00 μB/f.u.; total energy = -42.507 eV per cell; density = 4.61 Mg/m³
1.0
-2.366 -1.611 2.043
3.416 -0.133 0.824
-0.967 8.183 5.334
H Rh Ca
6 2 2
Direct
0.667 0.333 0.081
0.000 0.000 0.750
0.333 0.667 0.581
0.667 0.333 0.419
0.333 0.667 0.919
0.000 0.000 0.250
0.333 0.667 0.750
0.667 0.333 0.250
0.000 0.000 0.500
0.000 0.000 0.000

---

(3)
GGA-PBE CaH3Rh, optimized geometry; spin magnetization = 0.00 μB/f.u.; total energy = -85.979 eV per cell; density = 4.68 Mg/m³
1.0
8.549 0.000 0.920
3.313 4.721 -2.214
-3.313 4.721 2.214
H Ca Rh
12 4 4
Direct
0.646 0.564 0.675
0.424 0.889 0.111
0.354 0.436 0.325
0.624 0.310 0.187
0.576 0.111 0.889
0.924 0.389 0.611
0.146 0.825 0.936
0.124 0.313 0.190
0.376 0.690 0.813
0.854 0.175 0.064
0.876 0.687 0.810
0.076 0.611 0.389
0.750 0.153 0.653
0.250 0.847 0.347
0.250 0.408 0.908
0.750 0.592 0.092
0.821 0.998 0.250
0.179 0.002 0.750
0.321 0.250 0.502
0.679 0.750 0.498

---

(4)
GGA-PBE CaH2Rh, optimized geometry; spin magnetization = 0.00 μB/f.u.; relative energy among the computed polymorphs = 358 meV/atom; total energy = -16.891 eV per cell; density = 5.40 Mg/m³
1.0
-1.148 -3.089 0.187
2.071 -2.552 -0.305
1.017 -1.862 4.629
H Ca Rh
2 1 1
Direct
0.786 0.786 0.643
0.214 0.214 0.357
0.000 0.000 0.000
0.500 0.500 0.500

---

(5)
GGA-PBE CaH3Rh, optimized geometry; spin magnetization = 1.75 μB/f.u.; total energy = -16.160 eV per cell; density = 3.98 Mg/m³
1.0
-2.606 -2.316 1.822
-1.030 -1.564 -3.459
2.761 -2.769 0.430
Rh H Ca
1 3 1
Direct
0.500 0.500 0.500
0.500 0.000 0.000
0.000 0.500 0.000
0.000 0.000 0.500
0.000 0.000 0.000

---

(6)
GGA-PBE Ca3H6Rh2, optimized geometry; spin magnetization = 0.00 μB/f.u.; total energy = -46.572 eV per cell; density = 4.18 Mg/m³
1.0
-1.421 -0.573 -3.338
-3.041 -1.378 1.531
-1.739 9.911 1.059
Rh H Ca
2 6 3
Direct
0.594 0.594 0.189
0.406 0.406 0.811
0.410 0.910 0.821
0.312 0.312 0.625
0.688 0.688 0.375
0.090 0.590 0.179
0.910 0.410 0.821
0.590 0.090 0.179
0.175 0.175 0.350
0.825 0.825 0.650
0.000 0.000 0.000

---

(7)
GGA-PBE Ca12H5Rh3, optimized geometry; spin magnetization = 0.00 μB/f.u.; total energy = -277.635 eV per cell; density = 2.84 Mg/m³
1.0
13.422 0.000 0.000
-4.474 12.655 0.000
-4.474 -6.327 10.959
Ca H Rh
48 20 12
Direct
0.902 0.088 0.874
0.088 0.902 0.374
0.626 0.028 0.213
0.713 0.588 0.186
0.472 0.787 0.874
0.412 0.287 0.314
0.028 0.626 0.713
0.874 0.287 0.472
0.126 0.713 0.528
0.686 0.213 0.588
0.287 0.412 0.814
0.912 0.814 0.787
0.028 0.402 0.814
0.902 0.814 0.528
0.588 0.874 0.402
0.213 0.686 0.088
0.874 0.588 0.902
0.472 0.686 0.098
0.528 0.213 0.126
0.186 0.098 0.972
0.814 0.902 0.028
0.626 0.598 0.912
0.598 0.972 0.686
0.374 0.402 0.088
0.098 0.186 0.472
0.972 0.374 0.287
0.814 0.912 0.287
0.598 0.626 0.412
0.314 0.787 0.412
0.686 0.472 0.598
0.528 0.314 0.902
0.088 0.186 0.213
0.402 0.028 0.314
0.787 0.314 0.912
0.402 0.374 0.588
0.213 0.528 0.626
0.412 0.126 0.598
0.972 0.598 0.186
0.588 0.713 0.686
0.912 0.098 0.626
0.713 0.126 0.028
0.287 0.874 0.972
0.186 0.088 0.713
0.314 0.528 0.402
0.787 0.472 0.374
0.098 0.912 0.126
0.126 0.412 0.098
0.374 0.972 0.787
0.625 0.875 0.250
0.250 0.375 0.625
0.750 0.125 0.875
0.000 0.000 0.500
0.500 0.500 0.000
0.125 0.375 0.250
0.125 0.750 0.375
0.000 0.500 0.000
0.500 0.500 0.500
0.875 0.250 0.625
0.500 0.000 0.500
0.000 0.000 0.000
0.000 0.500 0.500
0.875 0.625 0.750
0.375 0.250 0.125
0.250 0.875 0.125
0.500 0.000 0.000
0.625 0.750 0.875
0.375 0.125 0.750
0.750 0.625 0.375
0.125 0.875 0.750
0.750 0.875 0.625
0.625 0.375 0.750
0.875 0.125 0.250
0.375 0.750 0.625
0.625 0.250 0.375
0.875 0.750 0.125
0.375 0.625 0.250
0.750 0.375 0.125
0.125 0.250 0.875
0.250 0.125 0.375
0.250 0.625 0.875

---

(8)
GGA-PBE CaHRh3, optimized geometry; spin magnetization = 3.34 μB/f.u.; relative energy among the computed polymorphs = 2306 meV/atom; total energy = -16.768 eV per cell; density = 5.00 Mg/m³
1.0
-2.221 -3.693 -2.291
3.264 -3.116 1.859
-2.869 -0.687 3.888
Ca Rh H
1 3 1
Direct
0.000 0.000 0.000
0.000 0.000 0.500
0.500 0.000 0.000
0.000 0.500 0.000
0.500 0.500 0.500